[1]
# GGA-PBE LiCu2Au6, optimized geometry
data_LiCu2Au6
_cell_length_a 4.980
_cell_length_b 7.694
_cell_length_c 8.254
_cell_angle_alpha 72.16
_cell_angle_beta 86.96
_cell_angle_gamma 78.84
_space_group_name_H-M_alt 'P -1'
_space_group_IT_number 2
loop_
_space_group_symop_operation_xyz
'x,y,z'
'-x,-y,-z'
loop_
_atom_site_label
_atom_site_type_symbol
_atom_site_fract_x
_atom_site_fract_y
_atom_site_fract_z
Li1 Li 0.208 0.362 0.113
Cu1 Cu 0.147 0.963 0.223
Cu2 Cu 0.468 0.300 0.556
Au1 Au 0.029 0.192 0.438
Au2 Au 0.102 0.587 0.339
Au3 Au 0.228 0.751 0.994
Au4 Au 0.307 0.141 0.888
Au5 Au 0.361 0.525 0.773
Au6 Au 0.431 0.916 0.670
# Energy above the most stable polymorph in this dataset = 0.0 meV/atom
# D(E_F) = 0.234 states/eV per atom

=====

[2]
# GGA-PBE KMnMo2, optimized geometry
data_KMnMo2
_cell_length_a 12.215
_cell_length_b 2.633
_cell_length_c 5.290
_cell_angle_alpha 90.00
_cell_angle_beta 115.59
_cell_angle_gamma 90.00
_space_group_name_H-M_alt 'C 1 2/m 1'
_space_group_IT_number 12
loop_
_space_group_symop_operation_xyz
'x,y,z'
'-x,-y,-z'
'-x,y,-z'
'x,-y,z'
'x+1/2,y+1/2,z'
'-x+1/2,-y+1/2,-z'
'-x+1/2,y+1/2,-z'
'x+1/2,-y+1/2,z'
loop_
_atom_site_label
_atom_site_type_symbol
_atom_site_fract_x
_atom_site_fract_y
_atom_site_fract_z
K1 K 0.000 0.000 0.000
Mn1 Mn 0.000 0.500 0.500
Mo1 Mo 0.210 0.000 0.710
# Energy above the most stable polymorph in this dataset = 330.2 meV/atom
# D(E_F) = 0.880 states/eV per atom

=====

[3]
# GGA-PBE Ni2GeN, optimized geometry
data_Ni2GeN
_cell_length_a 4.555
_cell_length_b 4.555
_cell_length_c 10.364
_cell_angle_alpha 90.00
_cell_angle_beta 90.00
_cell_angle_gamma 90.00
_space_group_name_H-M_alt 'I -4 2 d'
_space_group_IT_number 122
_space_group_name_Hall 'I -4 2bw'
loop_
_atom_site_label
_atom_site_type_symbol
_atom_site_fract_x
_atom_site_fract_y
_atom_site_fract_z
Ni1 Ni 0.132 0.250 0.125
Ge1 Ge 0.000 0.000 0.500
N1 N 0.000 0.000 0.000
# Energy above the most stable polymorph in this dataset = 0.0 meV/atom
# D(E_F) = 0.570 states/eV per atom
# Energy relative to the elements, uncorrected = 0.15 eV/atom